Computed, not measured: a relaxed structure of LiAsOsO at the GGA-PBE level of DFT.

Values from the calculation:
Energy relative to the lowest polymorph listed for this composition   0 meV/atom
ρ   8.28 g/cm³
Space group   Pmc2_1
Electronic total energy   -50.8 eV per cell

Lattice parameters (Å, degrees): 3.047 6.550 5.793 90.00 90.00 90.00
Element x y z (fractional)
Li: 0.000 0.124 0.000
Li: 0.000 0.876 0.500
As: 0.000 0.277 0.488
As: 0.000 0.723 0.988
Os: 0.500 0.498 0.738
Os: 0.500 0.502 0.238
O: 0.500 0.279 0.989
O: 0.500 0.721 0.489